(1)
Below is a PBEsol-optimized structure of Mg2AsSe, with properties calculated at the SCAN level.

Energy relative to the elements, uncorrected, kJ/mol of atoms: -68.8
Space group: Amm2
Volume, Å³/cell: 87.5

Structure (POSCAR):
```
Mg2AsSe
1.0
-1.1502 0.8926 3.2029
-3.7286 -0.0957 -1.3123
0.1877 -6.5296 -0.0452
As Mg Se
1 2 1
Cartesian
-1.2286 -2.5282 2.1957 As
-1.4037 -5.2417 2.8891 Mg
-2.5535 -3.5819 0.0813 Mg
-2.9071 0.3806 0.7823 Se
```

(2)
Below is a PBEsol-optimized structure of CaSe2Br, with properties calculated at the SCAN level.

Energy relative to the elements, uncorrected, kJ/mol of atoms: -106.0
Space group: P4/mmm
Volume, Å³/cell: 93.2

Structure (POSCAR):
```
CaSe2Br
1.0
-0.7951 3.5788 -1.5395
0.9474 -1.3465 -3.6193
-5.6055 -1.6177 -0.8655
Ca Se Br
1 2 1
Cartesian
-2.8027 -0.8089 -0.4327 Ca
0.4737 -0.6732 -1.8097 Se
-0.3976 1.7894 -0.7698 Se
-2.7266 0.3073 -3.0121 Br
```

(3)
Below is a PBEsol-optimized structure of Y2Bi2W, with properties calculated at the SCAN level.

Energy of formation from the pure elements, meV/atom: 628
Space group: I4/mmm
Volume, Å³/cell: 143.3

Structure (POSCAR):
```
Y2Bi2W
1.0
4.1378 0.0000 0.0000
0.0000 4.1378 0.0000
-2.0689 -2.0689 8.3717
Y Bi W
2 2 1
Cartesian
0.0000 0.0000 6.8127 Y
2.0689 2.0689 1.5590 Y
0.0000 2.0689 4.1859 Bi
2.0689 0.0000 4.1859 Bi
0.0000 0.0000 0.0000 W
```

(4)
Below is a PBEsol-optimized structure of Sc2AgRh, with properties calculated at the SCAN level.

Energy of formation from the pure elements, meV/atom: -751
Space group: Pmmm
Volume, Å³/cell: 70.7

Structure (POSCAR):
```
Sc2AgRh
1.0
3.1977 0.0000 0.0000
0.0000 3.2925 0.0000
0.0000 0.0000 6.7175
Sc Rh Ag
2 1 1
Cartesian
0.0000 0.0000 1.5573 Sc
0.0000 0.0000 5.1601 Sc
1.5988 1.6463 0.0000 Rh
1.5988 1.6463 3.3587 Ag
```

(5)
Below is a PBEsol-optimized structure of MgScHg2, with properties calculated at the SCAN level.

Energy of formation from the pure elements, meV/atom: -551
Space group: P4/mmm
Volume, Å³/cell: 81.8

Structure (POSCAR):
```
MgScHg2
1.0
-2.9820 -1.6365 -0.5555
1.3714 -0.9450 -4.5777
2.0212 -4.1816 1.4687
Sc Mg Hg
1 1 2
Cartesian
-1.4910 -0.8182 -0.2778 Sc
0.2053 -3.3815 -1.8322 Mg
1.0106 -2.0908 0.7344 Hg
0.6857 -0.4725 -2.2888 Hg
```

(6)
Below is a PBEsol-optimized structure of Bi2B3HO8, with properties calculated at the SCAN level.

Space group: Pbca
Volume, Å³/cell: 1288.8

Structure (POSCAR):
```
Bi2B3HO8
1.0
-5.3631 -2.2393 -0.9846
2.5489 -1.2545 -11.0303
6.7084 -17.6299 3.5553
Bi B H O
16 24 8 64
Cartesian
0.3926 -8.2930 -8.9242 Bi
5.0255 -13.3538 -5.0048 Bi
0.6400 -4.2582 -3.4449 Bi
1.7302 -16.3423 0.4546 Bi
3.5016 -12.8307 0.4646 Bi
-1.1314 -7.7699 -3.4548 Bi
3.2541 -16.8654 -5.0147 Bi
2.1640 -4.7813 -8.9143 Bi
0.7557 -6.2200 -0.2097 Bi
1.4333 -14.4562 -2.8138 Bi
-1.0170 -5.6944 -6.5601 Bi
6.6163 -15.8767 -7.3356 Bi
3.1384 -14.9037 -8.2499 Bi
2.4609 -6.6674 -5.6458 Bi
4.9112 -15.4293 -1.8995 Bi
-2.7221 -5.2469 -1.1241 Bi
3.1685 -9.5986 -8.2047 B
0.7984 -12.6542 -5.9907 B
-2.1054 -2.9677 -4.2965 B
5.9268 -17.0270 1.5727 B
0.7257 -11.5251 -0.2550 B
3.0957 -8.4695 -2.4689 B
5.9995 -18.1560 -4.1631 B
-2.0326 -4.0967 -10.0323 B
-0.9953 -9.6875 -0.0667 B
3.2950 -10.9425 -2.9365 B
0.6676 -2.1942 -6.4157 B
4.8210 -19.4232 -7.5003 B
4.8894 -11.4362 -8.3929 B
0.5991 -10.1812 -5.5231 B
3.2266 -18.9295 -2.0439 B
-0.9269 -1.7005 -0.9593 B
1.0864 -9.2481 -1.1669 B
-0.7341 -12.1951 -2.1939 B
-0.7504 -2.9603 -8.1875 B
8.1864 -17.8440 -5.3710 B
2.8078 -11.8756 -7.2927 B
4.6282 -8.9286 -6.2657 B
4.6446 -18.1634 -0.2722 B
-4.2923 -3.2797 -3.0886 B
5.1469 -9.1023 -9.3631 H
2.0863 -11.7866 -4.2327 H
-3.4080 -3.7965 -6.0624 H
3.9631 -17.5620 2.7389 H
-1.2527 -12.0213 0.9034 H
1.8078 -9.3371 -4.2270 H
7.3022 -17.3272 -2.3972 H
-0.0690 -3.5617 -11.1985 H
2.4593 -8.8623 -9.1967 O
0.5409 -13.7941 -5.1762 O
-1.0735 -3.8627 -4.7007 O
5.8617 -15.7283 2.1543 O
1.4349 -12.2614 0.7371 O
3.3533 -7.3296 -3.2834 O
4.9677 -17.2610 -3.7589 O
-1.9675 -5.3954 -10.6139 O
1.7956 -8.2631 -1.7775 O
0.2262 -12.4830 -1.2768 O
-1.1725 -4.0866 -8.8194 O
6.9391 -17.4147 -5.0456 O
2.0986 -12.8606 -6.6821 O
3.6680 -8.6407 -7.1829 O
5.0667 -17.0371 0.3598 O
-3.0449 -3.7090 -3.4140 O
1.1362 -6.9348 -10.4395 O
5.9913 -13.9983 -3.1756 O
0.5607 -5.9434 -4.8043 O
0.1001 -15.3709 1.5002 O
2.7579 -14.1889 1.9799 O
-2.0972 -7.1254 -5.2840 O
3.3335 -15.1803 -3.6553 O
3.7941 -5.7527 -9.9598 O
-0.2106 -8.8276 -0.8198 O
4.1750 -11.1073 -1.8778 O
0.2455 -3.2325 -7.2318 O
3.5785 -19.0799 -6.9899 O
4.1047 -12.2960 -7.6398 O
-0.2808 -10.0164 -6.5818 O
3.6487 -17.8912 -1.2278 O
0.3157 -2.0438 -1.4698 O
-2.2666 -9.2873 0.2505 O
2.8347 -12.0658 -3.5716 O
1.6543 -2.4544 -5.5016 O
5.5659 -18.4399 -8.0965 O
6.1607 -11.8364 -8.7101 O
1.0595 -9.0579 -4.8880 O
2.2398 -18.6693 -2.9580 O
-1.6717 -2.6837 -0.3631 O
2.3461 -10.6344 -7.5588 O
5.1027 -10.1645 -5.9974 O
-1.5943 -1.7786 -3.5955 O
1.9337 -19.6699 0.2324 O
1.5480 -10.4893 -0.9009 O
-1.2085 -10.9592 -2.4622 O
5.4884 -19.3450 -4.8641 O
1.9604 -1.4538 -8.6920 O
0.8201 -6.7587 -7.4057 O
6.8279 -13.9570 -6.1138 O
-0.4785 -5.4525 -1.9734 O
0.6187 -16.0792 -1.4263 O
3.0740 -14.3650 -1.0539 O
-2.9338 -7.1667 -2.3458 O
4.3726 -15.6712 -6.4862 O
3.2754 -5.0445 -7.0333 O
4.3781 -10.2424 -8.8262 O
0.9574 -11.4388 -5.1179 O
-2.8927 -2.5316 -5.5024 O
5.3455 -18.0345 2.5273 O
-0.4840 -10.8812 0.3666 O
2.9367 -9.6849 -3.3417 O
6.7869 -18.5920 -2.9572 O
-1.4513 -3.0892 -10.9869 O
```

(7)
Below is a PBEsol-optimized structure of TiNb3Fe, with properties calculated at the SCAN level.

Energy of formation from the pure elements, meV/atom: 1421
Space group: Pm-3m
Volume, Å³/cell: 97.1

Structure (POSCAR):
```
TiNb3Fe
1.0
-3.0004 0.5239 3.4417
2.9882 -1.9436 2.9009
1.7862 4.1316 0.9282
Nb Fe Ti
3 1 1
Cartesian
1.4941 -0.9718 1.4504 Nb
0.8931 2.0658 0.4641 Nb
-1.5002 0.2620 1.7209 Nb
0.8870 1.3560 3.6354 Fe
0.0000 0.0000 0.0000 Ti
```

(8)
Below is a PBEsol-optimized structure of Be2NbAu, with properties calculated at the SCAN level.

Energy of formation from the pure elements, meV/atom: -124
Space group: Fm-3m
Volume, Å³/cell: 50.7

Structure (POSCAR):
```
Be2NbAu
1.0
4.1546 0.0000 0.0000
2.0773 3.5980 0.0000
2.0773 1.1993 3.3922
Be Nb Au
2 1 1
Cartesian
2.0773 1.1993 0.8481 Be
6.2319 3.5980 2.5442 Be
0.0000 0.0000 0.0000 Nb
4.1546 2.3987 1.6961 Au
```

Per-record calculated total energy, eV/atom: -13.27, -18.42, -55.88, -24.15, -39.44, -18.59, -25.29, -27.87